(1)
Y2PIrO PBE relaxed; SG = P4/mmm; raw total energy = -34.49 eV per formula unit; DOS at the Fermi energy = 0.62 states/eV/atom; E_form (uncorrected) = -2.33 eV/f.u.
1.0
5.3944 0.0000 0.0000
0.0000 5.3944 0.0000
0.0000 0.0000 4.2909
Y P Ir O
2 1 1 1
Direct
0.0000 0.5000 0.0000
0.5000 0.0000 0.0000
0.0000 0.0000 0.5000
0.0000 0.0000 0.0000
0.5000 0.5000 0.5000

***

(2)
ZnPIrO2 PBE relaxed; SG = P4/mmm; raw total energy = -26.41 eV per formula unit; DOS at the Fermi energy = 0.35 states/eV/atom; E_form (uncorrected) = -0.95 eV/f.u.
1.0
3.7479 0.0000 0.0000
0.0000 3.7479 0.0000
0.0000 0.0000 5.3259
Zn P Ir O
1 1 1 2
Direct
0.0000 0.0000 0.0000
0.5000 0.5000 0.0000
0.5000 0.5000 0.5000
0.0000 0.5000 0.5000
0.5000 0.0000 0.5000

***

(3)
ZnPIrO2 PBE relaxed; SG = P4/mmm; raw total energy = -23.05 eV per formula unit; DOS at the Fermi energy = 0.72 states/eV/atom; E_form (uncorrected) = 2.41 eV/f.u.
1.0
3.5455 0.0000 0.0000
0.0000 3.5455 0.0000
0.0000 0.0000 6.8882
Zn P Ir O
1 1 1 2
Direct
0.0000 0.0000 0.0000
0.0000 0.0000 0.5000
0.5000 0.5000 0.5000
0.0000 0.5000 0.0000
0.5000 0.0000 0.0000

***

> Which of these has the lowest DOS at the Fermi energy?

number 2